No. 1
First-principles (PBE) data for ZrBeSn after structural relaxation, as listed in OQMD.

The size of the total moment is 0.00 Bohr magnetons per cell. For the total DFT energy (no corrections), the calculation gives -5.4995 eV per atom.

Lattice parameters (Å, degrees): 4.2896 4.2896 4.2896 60.00 60.00 60.00
With the nearest neighbours (Å) after each atom.
Sites, in units of the cell vectors:
Zr (0.0000, 0.0000, 0.0000)  4 Be 2.63
Be (0.7500, 0.7500, 0.7500)  4 Zr 2.63, 4 Sn 2.63
Sn (0.5000, 0.5000, 0.5000)  4 Be 2.63

No. 2
First-principles (PBE) data for Te8Os after structural relaxation, as listed in OQMD.

The size of the total moment is 0.00 Bohr magnetons per cell. For the total DFT energy (no corrections), the calculation gives -3.7336 eV per atom.

Lattice parameters (Å, degrees): 8.8272 8.8272 3.8585 90.00 90.00 120.00
With the nearest neighbours (Å) after each atom.
Sites, in units of the cell vectors:
Te (0.0000, 0.2122, 0.0000)  2 Os 2.69
Te (0.0000, 0.5332, 0.5000)  6 Te 3.21-3.43
Te (0.2122, 0.0000, 0.0000)  2 Os 2.69
Te (0.3333, 0.6667, 0.0000)  6 Te 3.21
Te (0.4668, 0.4668, 0.5000)  6 Te 3.21-3.43
Te (0.5332, 0.0000, 0.5000)  6 Te 3.21-3.43
Te (0.6667, 0.3333, 0.0000)  6 Te 3.21
Te (0.7878, 0.7878, 0.0000)  2 Os 2.69
Os (0.0000, 0.0000, 0.5000)  6 Te 2.69